(1)
First-principles (PBE) data for a relaxed La2PrHo5Th crystal, as listed in Alexandria.

abc: 5.676 10.424 10.668
angles: 90.00 90.00 105.80
Fractional coordinates of all 18 atoms:
1 La 0.884 0.768 0.820
2 La 0.117 0.234 0.729
3 La 0.883 0.766 0.229
4 La 0.116 0.232 0.320
5 Pr 0.415 0.829 0.454
6 Pr 0.585 0.171 0.954
7 Ho 0.721 0.442 0.812
8 Ho 0.390 0.781 0.023
9 Ho 0.479 0.958 0.738
10 Ho 0.017 0.033 0.027
11 Ho 0.610 0.219 0.523
12 Ho 0.299 0.597 0.710
13 Ho 0.521 0.042 0.238
14 Ho 0.983 0.967 0.527
15 Ho 0.701 0.403 0.210
16 Ho 0.279 0.558 0.312
17 Th 0.796 0.593 0.511
18 Th 0.204 0.407 0.011

Output
The energy relative to the elements comes out at 0.160 eV/atom. The energy comes out at -0.17765 Ha/atom. Its space group is Cmc2_1 (36).



(2)
First-principles (PBE) data for a relaxed MnNiP2 crystal, as listed in Alexandria.

abc: 5.050 5.050 6.171
angles: 65.84 65.84 90.00
Fractional coordinates of all 8 atoms:
1 P 0.375 0.379 0.750
2 P 0.129 0.625 0.250
3 P 0.875 0.871 0.750
4 P 0.621 0.125 0.250
5 Mn 0.500 0.500 0.000
6 Mn 0.250 0.750 0.500
7 Ni 0.000 0.000 0.000
8 Ni 0.750 0.250 0.500

Output
The energy relative to the elements comes out at -0.056 eV/atom. The energy comes out at -0.23881 Ha/atom. Its space group is I-42d (122).